Cr4O5F | PBE with a Hubbard U | relaxed

Cell lengths 5.046, 6.275, 6.996 Å; angles 90.00, 90.00, 87.28 degrees
Sites, in units of the cell vectors:
Cr (0.017, 0.502, 0.239)
Cr (0.514, 0.750, 0.500)
Cr (0.017, 0.502, 0.761)
Cr (0.983, 0.998, 0.739)
Cr (0.524, 0.250, 0.500)
Cr (0.476, 0.250, 0.000)
Cr (0.486, 0.750, 0.000)
Cr (0.983, 0.998, 0.261)
F (0.855, 0.494, 0.500)
F (0.145, 0.006, 0.000)
O (0.255, 0.230, 0.297)
O (0.255, 0.230, 0.703)
O (0.745, 0.270, 0.203)
O (0.755, 0.750, 0.793)
O (0.217, 0.490, 0.000)
O (0.755, 0.750, 0.207)
O (0.245, 0.750, 0.707)
O (0.783, 0.010, 0.500)
O (0.245, 0.750, 0.293)
O (0.745, 0.270, 0.797)

Computed properties:
M_tot: 13.00 μB per formula unit
uncorrected energy: -7.483 eV per atom